ZrTaCd2 | PBE | optimized geometry

POSCAR file:
```
ZrTaCd2
1.0
4.931 0.000 0.000
2.465 4.270 0.000
2.465 1.423 4.026
Cd Zr Ta
2 1 1
Direct
0.000 0.000 0.000 Cd
0.250 0.250 0.250 Cd
0.750 0.750 0.750 Zr
0.500 0.500 0.500 Ta
```

Values from the calculation:
Polymorph energy (0 for the lowest one) in eV/atom: 0.421


ZrTaCd2 | PBE | optimized geometry

POSCAR file:
```
ZrTaCd2
1.0
-0.037 -0.367 2.950
0.167 -2.945 -0.365
9.366 0.509 0.182
Zr Ta Cd
1 1 2
Direct
0.500 0.500 0.740 Zr
0.000 0.000 0.501 Ta
0.000 0.000 0.003 Cd
0.500 0.500 0.256 Cd
```

Values from the calculation:
Polymorph energy (0 for the lowest one) in eV/atom: 0.007


Zr2TaCd | PBE | optimized geometry

POSCAR file:
```
Zr2TaCd
1.0
3.578 0.000 0.000
0.000 3.578 0.000
0.000 0.000 6.587
Zr Cd Ta
2 1 1
Direct
0.500 0.500 0.246 Zr
0.000 0.000 0.984 Zr
0.000 0.000 0.510 Cd
0.500 0.500 0.760 Ta
```


ZrTaCd | PBE | optimized geometry

POSCAR file:
```
ZrTaCd
1.0
7.435 0.001 0.000
6.274 3.989 0.000
-6.854 -1.995 2.077
Cd Ta Zr
1 1 1
Direct
0.996 0.996 0.000 Cd
0.332 0.332 0.000 Ta
0.672 0.672 0.000 Zr
```

Values from the calculation:
Polymorph energy (0 for the lowest one) in eV/atom: 0.099


| no. | size of the total moment (μB/f.u.) | calculated total energy (eV per atom) | DFT formation energy (eV per formula unit) |
| --- | --- | --- | --- |
| 1 | 1.999 | -5.09 | 1.9 |
| 2 | 0.000 | -5.51 | 0.2 |
| 3 | 0.000 | -7.31 | 0.6 |
| 4 | 0.000 | -7.04 | 0.2 |